Entry 1:
! CaScTlPt2, single point on PBEsol structure, DFT SCAN; values from VASP
&SYSTEM
  ibrav = 0, nat = 5, ntyp = 4
/
ATOMIC_SPECIES
Sc 44.96 Sc.upf
Tl 204.38 Tl.upf
Ca 40.08 Ca.upf
Pt 195.08 Pt.upf
CELL_PARAMETERS angstrom
5.050 0.000 0.000
0.000 5.050 0.000
0.000 0.000 5.142
ATOMIC_POSITIONS crystal
Sc 0.500 0.500 0.500
Tl 0.000 0.000 0.000
Ca 0.000 0.000 0.500
Pt 0.000 0.500 0.000
Pt 0.500 0.000 0.000
! space group: No. 123
! E_form: 0.539 eV/atom

Entry 2:
! MgGaTe2P, single point on PBEsol structure, DFT SCAN; values from VASP
&SYSTEM
  ibrav = 0, nat = 5, ntyp = 4
/
ATOMIC_SPECIES
P 30.97 P.upf
Mg 24.30 Mg.upf
Te 127.60 Te.upf
Ga 69.72 Ga.upf
CELL_PARAMETERS angstrom
4.870 0.000 0.000
0.000 5.256 0.000
0.000 0.000 5.256
ATOMIC_POSITIONS crystal
P 0.500 0.500 0.500
Mg 0.500 0.000 0.000
Te 0.000 0.000 0.500
Te 0.000 0.500 0.000
Ga 0.000 0.000 0.000
! raw formation energy: 718 meV per atom
! space group: No. 123

Please write out number 2 again, unchanged.
! MgGaTe2P, single point on PBEsol structure, DFT SCAN; values from VASP
&SYSTEM
  ibrav = 0, nat = 5, ntyp = 4
/
ATOMIC_SPECIES
P 30.97 P.upf
Mg 24.30 Mg.upf
Te 127.60 Te.upf
Ga 69.72 Ga.upf
CELL_PARAMETERS angstrom
4.870 0.000 0.000
0.000 5.256 0.000
0.000 0.000 5.256
ATOMIC_POSITIONS crystal
P 0.500 0.500 0.500
Mg 0.500 0.000 0.000
Te 0.000 0.000 0.500
Te 0.000 0.500 0.000
Ga 0.000 0.000 0.000
! raw formation energy: 718 meV per atom
! space group: No. 123